HfTi2TlN | PBE | optimized geometry

a b c (Å): 4.2019 4.2019 4.5325
angles (deg): 90.00 90.00 90.00
Fractional coordinates of all 5 atoms:
Hf 0.0000 0.0000 0.0000
Ti 0.0000 0.5000 0.5000
Ti 0.5000 0.0000 0.5000
Tl 0.5000 0.5000 0.0000
N 0.0000 0.0000 0.5000

Calculated values
Its formation energy without anion corrections is -343 kJ/mol of formula units. The value obtained for the density of states at the Fermi level is 3.93 states/eV per cell. The polymorph energy (0 for the lowest one) is 0.0000 eV per atom. As for the total moment: 0.00 μB per formula unit.